# 1
# Tb3Pm4Tl2 (PBE, optimized geometry)
# energy of formation	-0.101	eV/atom
# raw total energy	-4.28	eV/atom
data_Tb3Pm4Tl2
_cell_length_a 14.376
_cell_length_b 12.587
_cell_length_c 6.635
_cell_angle_alpha 90.00
_cell_angle_beta 107.79
_cell_angle_gamma 90.00
_symmetry_space_group_name_H-M 'C 1 2/c 1'
_symmetry_Int_Tables_number 15
_symmetry_space_group_name_Hall '-C 2yc'
loop_
_atom_site_label
_atom_site_type_symbol
_atom_site_fract_x
_atom_site_fract_y
_atom_site_fract_z
_atom_site_occupancy
Tb1 Tb 0.000 0.010 0.250 1
Tb2 Tb 0.117 0.461 0.955 1
Pm1 Pm 0.059 0.274 0.522 1
Pm2 Pm 0.192 0.180 0.162 1
Tl1 Tl 0.205 0.083 0.643 1

---

# 2
# Tb6PmTl5 (PBE, optimized geometry)
# energy of formation	-0.192	eV/atom
# raw total energy	-3.89	eV/atom
data_Tb6PmTl5
_cell_length_a 10.429
_cell_length_b 11.416
_cell_length_c 6.227
_cell_angle_alpha 90.00
_cell_angle_beta 103.94
_cell_angle_gamma 90.00
_symmetry_space_group_name_H-M 'C 1 2/m 1'
_symmetry_Int_Tables_number 12
_symmetry_space_group_name_Hall '-C 2y'
loop_
_atom_site_label
_atom_site_type_symbol
_atom_site_fract_x
_atom_site_fract_y
_atom_site_fract_z
_atom_site_occupancy
Tb1 Tb 0.223 0.000 0.226 1
Tb2 Tb 0.225 0.181 0.736 1
Pm1 Pm 0.000 0.500 0.000 1
Tl1 Tl 0.000 0.000 0.500 1
Tl2 Tl 0.000 0.198 0.000 1
Tl3 Tl 0.000 0.362 0.500 1

---

# 3
# Tb2PmTl (PBE, optimized geometry)
# energy of formation	-0.171	eV/atom
# raw total energy	-4.27	eV/atom
data_Tb2PmTl
_cell_length_a 3.651
_cell_length_b 3.651
_cell_length_c 9.213
_cell_angle_alpha 90.00
_cell_angle_beta 90.00
_cell_angle_gamma 90.00
_symmetry_space_group_name_H-M 'P 4/m m m'
_symmetry_Int_Tables_number 123
_symmetry_space_group_name_Hall '-P 4 2'
loop_
_atom_site_label
_atom_site_type_symbol
_atom_site_fract_x
_atom_site_fract_y
_atom_site_fract_z
_atom_site_occupancy
Tb1 Tb 0.000 0.000 0.225 1
Pm1 Pm 0.500 0.500 0.500 1
Tl1 Tl 0.500 0.500 0.000 1